LiMnAu6 PBE-GGA relaxed; ρ = 15.005 g cm⁻³; E_form = -0.19 eV per atom; magnetization = 4.65 μB per formula unit; excess energy over the best structure of this formula in the dataset = 0.0 meV per atom
1.0
4.104 0.000 0.000
0.000 4.104 0.000
0.000 0.000 8.171
Li Mn Au
1 1 6
Direct
0.000 0.000 0.000
0.000 0.000 0.500
0.000 0.500 0.248
0.000 0.500 0.752
0.500 0.000 0.248
0.500 0.000 0.752
0.500 0.500 0.000
0.500 0.500 0.500


CaYCdIr PBE-GGA relaxed; ρ = 7.905 g cm⁻³; E_form = -0.39 eV per atom; magnetization = 0.00 μB per formula unit
1.0
0.000 3.571 3.571
3.571 0.000 3.571
3.571 3.571 0.000
Ca Y Cd Ir
1 1 1 1
Direct
0.000 0.000 0.000
0.500 0.500 0.500
0.750 0.750 0.750
0.250 0.250 0.250


TlHgPb2 PBE-GGA relaxed; ρ = 11.385 g cm⁻³; E_form = 0.02 eV per atom; magnetization = 0.00 μB per formula unit
1.0
1.888 -2.875 0.000
1.888 2.875 0.000
0.000 0.000 11.006
Tl Hg Pb
1 1 2
Direct
0.000 0.000 0.000
0.000 0.000 0.500
0.500 0.500 0.261
0.500 0.500 0.739


CrHg2Os PBE-GGA relaxed; ρ = 14.907 g cm⁻³; E_form = 0.86 eV per atom; magnetization = 4.97 μB per formula unit; excess energy over the best structure of this formula in the dataset = 493.4 meV per atom
1.0
2.951 0.000 0.000
0.000 2.951 0.000
0.000 0.000 8.232
Cr Hg Os
1 2 1
Direct
0.000 0.000 0.000
0.500 0.500 0.247
0.500 0.500 0.753
0.000 0.000 0.500


TaTlCuRe2 PBE-GGA relaxed; ρ = 10.834 g cm⁻³; E_form = 2.19 eV per atom; magnetization = 2.68 μB per formula unit
1.0
4.820 0.000 0.000
0.000 4.820 0.000
0.000 0.000 5.418
Ta Tl Cu Re
1 1 1 2
Direct
0.000 0.000 0.000
0.000 0.000 0.500
0.500 0.500 0.500
0.000 0.500 0.000
0.500 0.000 0.000


B3PH PBE-GGA relaxed; ρ = 3.010 g cm⁻³; magnetization = 0.00 μB per formula unit; excess energy over the best structure of this formula in the dataset = 0.0 meV per atom
1.0
3.288 0.000 0.000
0.000 3.288 0.000
0.000 0.000 3.288
B P H
3 1 1
Direct
0.000 0.000 0.500
0.000 0.500 0.000
0.500 0.000 0.000
0.500 0.500 0.500
0.000 0.000 0.000


Mg2CdPd2 PBE-GGA relaxed; ρ = 6.656 g cm⁻³; E_form = -0.50 eV per atom; magnetization = 0.00 μB per formula unit
1.0
4.614 -2.186 0.000
4.614 2.186 0.000
-3.604 0.000 4.624
Mg Cd Pd
2 1 2
Direct
0.198 0.198 0.188
0.802 0.802 0.812
0.000 0.000 0.500
0.492 0.492 0.767
0.508 0.508 0.233


KCdGePt PBE-GGA relaxed; ρ = 6.505 g cm⁻³; E_form = -0.27 eV per atom; magnetization = 0.00 μB per formula unit
1.0
2.211 1.276 6.319
-2.211 1.276 6.319
0.000 -2.553 6.319
K Cd Ge Pt
1 1 1 1
Direct
0.000 0.000 0.000
0.803 0.803 0.803
0.545 0.545 0.545
0.191 0.191 0.191